Record 1
Rb3ErU3S8 after structural relaxation, computed with PBE.

Results
E_form (uncorrected)	-22.7	eV/f.u.

```
data_Rb3ErU3S8
_chemical_formula_sum 'Rb6 Er2 U6 S16'
_symmetry_space_group_name_H-M 'C 1 2/m 1'
_symmetry_Int_Tables_number 12
_cell_length_a 13.969
_cell_length_b 8.064
_cell_length_c 9.118
_cell_angle_alpha 90.00
_cell_angle_beta 120.66
_cell_angle_gamma 90.00
loop_
_symmetry_equiv_pos_as_xyz
'x,y,z'
'-x,-y,-z'
'-x,y,-z'
'x,-y,z'
'x+1/2,y+1/2,z'
'-x+1/2,-y+1/2,-z'
'-x+1/2,y+1/2,-z'
'x+1/2,-y+1/2,z'
loop_
_atom_site_label
_atom_site_type_symbol
_atom_site_fract_x
_atom_site_fract_y
_atom_site_fract_z
Rb1 Rb 0.000 0.000 0.000
Rb2 Rb 0.250 0.250 0.000
Er1 Er 0.000 0.000 0.500
U1 U 0.000 0.500 0.500
U2 U 0.250 0.250 0.500
S1 S 0.021 0.249 0.313
S2 S 0.228 0.000 0.687
S3 S 0.231 0.500 0.692
```

Record 2
CeSF after structural relaxation, computed with PBE.

Results
E_form (uncorrected)	-7.4	eV/f.u.

```
data_CeSF
_chemical_formula_sum 'Ce2 S2 F2'
_symmetry_space_group_name_H-M 'I 4 m m'
_symmetry_Int_Tables_number 107
_symmetry_space_group_name_Hall 'I 4 -2'
_cell_length_a 3.519
_cell_length_b 3.519
_cell_length_c 8.762
_cell_angle_alpha 90.00
_cell_angle_beta 90.00
_cell_angle_gamma 90.00
loop_
_atom_site_label
_atom_site_type_symbol
_atom_site_fract_x
_atom_site_fract_y
_atom_site_fract_z
Ce1 Ce 0.000 0.000 0.000
S1 S 0.000 0.000 0.333
F1 F 0.000 0.000 0.630
```

Record 3
CsCeCuS3 after structural relaxation, computed with PBE.

Results
E_form (uncorrected)	-8.2	eV/f.u.

```
data_CsCeCuS3
_chemical_formula_sum 'Cs2 Ce2 Cu2 S6'
_symmetry_space_group_name_H-M 'P 1 21/m 1'
_symmetry_Int_Tables_number 11
_cell_length_a 9.380
_cell_length_b 4.087
_cell_length_c 9.640
_cell_angle_alpha 90.00
_cell_angle_beta 111.23
_cell_angle_gamma 90.00
loop_
_symmetry_equiv_pos_as_xyz
'x,y,z'
'-x,-y,-z'
'-x,y+1/2,-z'
'x,-y+1/2,z'
loop_
_atom_site_label
_atom_site_type_symbol
_atom_site_fract_x
_atom_site_fract_y
_atom_site_fract_z
Cs1 Cs 0.212 0.250 0.253
Ce1 Ce 0.319 0.750 0.838
Cu1 Cu 0.081 0.250 0.601
S1 S 0.131 0.250 0.854
S2 S 0.183 0.750 0.542
S3 S 0.475 0.750 0.148
```

Record 4
TbPuMnFe after structural relaxation, computed with PBE.

Results
energy of formation	0.117	eV/atom

```
data_TbPuMnFe
_chemical_formula_sum 'Tb4 Pu4 Mn4 Fe4'
_symmetry_space_group_name_H-M 'F -4 3 m'
_symmetry_Int_Tables_number 216
_symmetry_space_group_name_Hall 'F -4 2 3'
_cell_length_a 6.732
_cell_length_b 6.732
_cell_length_c 6.732
_cell_angle_alpha 90.00
_cell_angle_beta 90.00
_cell_angle_gamma 90.00
loop_
_atom_site_label
_atom_site_type_symbol
_atom_site_fract_x
_atom_site_fract_y
_atom_site_fract_z
Tb1 Tb 0.000 0.000 0.000
Pu1 Pu 0.000 0.000 0.500
Mn1 Mn 0.250 0.250 0.250
Fe1 Fe 0.250 0.250 0.750
```